Entry 1:
Computed, not measured: a relaxed MnCoNi2 crystal at the PBE level of DFT.

The structure in CIF format:
```
data_MnCoNi2
_space_group_name_H-M_alt 'F -4 3 m'
_space_group_IT_number 216
_space_group_name_Hall 'F -4 2 3'
_cell_length_a 5.699
_cell_length_b 5.699
_cell_length_c 5.699
_cell_angle_alpha 90.00
_cell_angle_beta 90.00
_cell_angle_gamma 90.00
loop_
_atom_site_label
_atom_site_type_symbol
_atom_site_fract_x
_atom_site_fract_y
_atom_site_fract_z
_atom_site_occupancy
Mn1 Mn 0.000 0.000 0.000 1
Co1 Co 0.250 0.250 0.250 1
Ni1 Ni 0.000 0.000 0.500 1
Ni2 Ni 0.250 0.250 0.750 1
```


Entry 2:
Computed, not measured: a relaxed Hf8AsIr2 crystal at the PBE level of DFT.

The structure in CIF format:
```
data_Hf8AsIr2
_space_group_name_H-M_alt 'C 1 2/m 1'
_space_group_IT_number 12
_cell_length_a 17.101
_cell_length_b 4.645
_cell_length_c 5.982
_cell_angle_alpha 90.00
_cell_angle_beta 107.66
_cell_angle_gamma 90.00
loop_
_space_group_symop_operation_xyz
'x,y,z'
'-x,-y,-z'
'-x,y,-z'
'x,-y,z'
'x+1/2,y+1/2,z'
'-x+1/2,-y+1/2,-z'
'-x+1/2,y+1/2,-z'
'x+1/2,-y+1/2,z'
loop_
_atom_site_label
_atom_site_type_symbol
_atom_site_fract_x
_atom_site_fract_y
_atom_site_fract_z
_atom_site_occupancy
Hf1 Hf 0.018 0.000 0.263 1
Hf2 Hf 0.095 0.500 0.979 1
Hf3 Hf 0.174 0.500 0.516 1
Hf4 Hf 0.211 0.000 0.856 1
As1 As 0.000 0.500 0.500 1
Ir1 Ir 0.167 0.000 0.246 1
```


Entry 3:
Computed, not measured: a relaxed CePm6Nd8 crystal at the PBE level of DFT.

The structure in CIF format:
```
data_CePm6Nd8
_space_group_name_H-M_alt 'R -3'
_space_group_IT_number 148
_space_group_name_Hall '-R 3'
_cell_length_a 9.2823
_cell_length_b 9.2823
_cell_length_c 21.0635
_cell_angle_alpha 90.00
_cell_angle_beta 90.00
_cell_angle_gamma 120.00
loop_
_atom_site_label
_atom_site_type_symbol
_atom_site_fract_x
_atom_site_fract_y
_atom_site_fract_z
_atom_site_occupancy
Ce1 Ce 0.0000 0.0000 0.0000 1
Pm1 Pm 0.0542 0.8066 0.7073 1
Nd1 Nd 0.0000 0.0000 0.4223 1
Nd2 Nd 0.0805 0.5200 0.8053 1
```


Q: Which final energy values were calculated for the entries above? A: -0.506 -0.717 -0.347, in Ry/atom.
Q: Which total magnetization values were calculated for the entries above? A: 6.24 0.00 1.17, in μB/f.u..